Record 1
This record from Alexandria describes a relaxed structure of BaCa3Nb. The functional is PBE-GGA. Values from VASP.

Computed properties:
ΔE to the lowest computed polymorph	0.0	kJ/mol of formula units
D(E_F)	0.3330	states/eV per atom
E_form	0.614	eV/atom

```
&SYSTEM
  ibrav = 0, nat = 5, ntyp = 3
/
ATOMIC_SPECIES
Nb 92.91 Nb.upf
Ca 40.08 Ca.upf
Ba 137.33 Ba.upf
CELL_PARAMETERS angstrom
5.887 0.000 0.000
0.000 5.887 0.000
0.000 0.000 5.887
ATOMIC_POSITIONS crystal
Nb 0.000 0.000 0.000
Ca 0.000 0.500 0.000
Ca 0.000 0.000 0.500
Ca 0.500 0.000 0.000
Ba 0.500 0.500 0.500
```

Record 2
This record from Alexandria describes a relaxed structure of Tb2PrHoSe4. The functional is PBE-GGA. Values from VASP.

Computed properties:
uncorrected energy	-5.839	eV/atom
D(E_F)	0.5647	states/eV per atom

```
&SYSTEM
  ibrav = 0, nat = 8, ntyp = 4
/
ATOMIC_SPECIES
Tb 158.93 Tb.upf
Pr 140.91 Pr.upf
Ho 164.93 Ho.upf
Se 78.96 Se.upf
CELL_PARAMETERS angstrom
4.071 0.000 0.000
0.000 7.123 -0.163
0.000 2.489 6.816
ATOMIC_POSITIONS crystal
Tb 0.000 0.000 0.000
Tb 0.500 0.000 0.500
Pr 0.500 0.500 0.000
Ho 0.000 0.500 0.500
Se 0.000 0.759 0.738
Se 0.000 0.241 0.262
Se 0.500 0.752 0.258
Se 0.500 0.248 0.742
```

Record 3
This record from Alexandria describes a relaxed structure of CaPmAlGa. The functional is PBE-GGA. Values from VASP.

Computed properties:
D(E_F)	0.7328	states/eV per atom
E_form	-0.373	eV/atom

```
&SYSTEM
  ibrav = 0, nat = 4, ntyp = 4
/
ATOMIC_SPECIES
Ca 40.08 Ca.upf
Al 26.98 Al.upf
Ga 69.72 Ga.upf
Pm 145.00 Pm.upf
CELL_PARAMETERS angstrom
-2.851 -4.364 0.062
0.616 -3.569 -3.750
2.254 -4.571 1.097
ATOMIC_POSITIONS crystal
Ca 0.000 0.000 0.000
Al 0.750 0.750 0.750
Ga 0.250 0.250 0.250
Pm 0.500 0.500 0.500
```

| no. | volume (Å³/cell) |
| --- | --- |
| 1 | 204 |
| 2 | 199 |
| 3 | 100 |